No. 1
DFT (PBE-GGA) results for a relaxed Sm3Hg crystal.

Geometry as CIF:
```
data_Sm3Hg
_cell_length_a 7.040
_cell_length_b 7.040
_cell_length_c 5.502
_cell_angle_alpha 90.00
_cell_angle_beta 90.00
_cell_angle_gamma 120.00
_space_group_name_H-M_alt 'P 1'
_space_group_IT_number 1
_space_group_name_Hall 'P 1'
loop_
_atom_site_label
_atom_site_type_symbol
_atom_site_fract_x
_atom_site_fract_y
_atom_site_fract_z
Sm1 Sm 0.174 0.349 0.250
Sm2 Sm 0.174 0.826 0.250
Sm3 Sm 0.349 0.174 0.750
Sm4 Sm 0.651 0.826 0.250
Sm5 Sm 0.826 0.174 0.750
Sm6 Sm 0.826 0.651 0.750
Hg1 Hg 0.333 0.667 0.750
Hg2 Hg 0.667 0.333 0.250
```

Properties
**DOS at the Fermi energy**: 10.87 states/eV per cell
**Symmetry**: No. 194
**Volume**: 236 Å³/cell
**Relative energy among the computed polymorphs**: 0.0704 eV/atom


No. 2
DFT (PBE-GGA) results for a relaxed HoGePt crystal.

Geometry as CIF:
```
data_HoGePt
_cell_length_a 7.011
_cell_length_b 4.363
_cell_length_c 7.628
_cell_angle_alpha 90.00
_cell_angle_beta 90.00
_cell_angle_gamma 90.00
_space_group_name_H-M_alt 'P 1'
_space_group_IT_number 1
_space_group_name_Hall 'P 1'
loop_
_atom_site_label
_atom_site_type_symbol
_atom_site_fract_x
_atom_site_fract_y
_atom_site_fract_z
Ho1 Ho 0.003 0.250 0.204
Ho2 Ho 0.497 0.750 0.704
Ho3 Ho 0.503 0.250 0.296
Ho4 Ho 0.997 0.750 0.796
Ge1 Ge 0.190 0.250 0.589
Ge2 Ge 0.310 0.750 0.089
Ge3 Ge 0.690 0.250 0.911
Ge4 Ge 0.810 0.750 0.411
Pt1 Pt 0.206 0.750 0.415
Pt2 Pt 0.294 0.250 0.915
Pt3 Pt 0.706 0.750 0.085
Pt4 Pt 0.794 0.250 0.585
```

Properties
**DOS at the Fermi energy**: 5.70 states/eV per cell
**Symmetry**: No. 62
**Volume**: 233 Å³/cell
**Uncorrected energy**: -6.222 eV/atom


No. 3
DFT (PBE-GGA) results for a relaxed AlNiPb2 crystal.

Geometry as CIF:
```
data_AlNiPb2
_cell_length_a 7.340
_cell_length_b 7.340
_cell_length_c 7.340
_cell_angle_alpha 153.76
_cell_angle_beta 147.34
_cell_angle_gamma 42.36
_space_group_name_H-M_alt 'P 1'
_space_group_IT_number 1
_space_group_name_Hall 'P 1'
loop_
_atom_site_label
_atom_site_type_symbol
_atom_site_fract_x
_atom_site_fract_y
_atom_site_fract_z
Al1 Al 0.000 0.000 0.000
Ni1 Ni 0.124 0.624 0.500
Pb1 Pb 0.385 0.385 0.000
Pb2 Pb 0.684 0.184 0.500
```

Properties
**DOS at the Fermi energy**: 2.00 states/eV per cell
**Symmetry**: No. 44
**Volume**: 94 Å³/cell
**Uncorrected energy**: -4.057 eV/atom


No. 4
DFT (PBE-GGA) results for a relaxed RbAg3N crystal.

Geometry as CIF:
```
data_RbAg3N
_cell_length_a 4.743
_cell_length_b 4.743
_cell_length_c 4.743
_cell_angle_alpha 90.00
_cell_angle_beta 90.00
_cell_angle_gamma 90.00
_space_group_name_H-M_alt 'P 1'
_space_group_IT_number 1
_space_group_name_Hall 'P 1'
loop_
_atom_site_label
_atom_site_type_symbol
_atom_site_fract_x
_atom_site_fract_y
_atom_site_fract_z
Rb1 Rb 0.000 0.000 0.000
Ag1 Ag 0.000 0.500 0.500
Ag2 Ag 0.500 0.000 0.500
Ag3 Ag 0.500 0.500 0.000
N1 N 0.500 0.500 0.500
```

Properties
**DOS at the Fermi energy**: 1.61 states/eV per cell
**Symmetry**: No. 221
**Volume**: 107 Å³/cell
**Formation energy without anion corrections**: 0.613 eV per atom
**Relative energy among the computed polymorphs**: 0.0000 eV/atom


No. 5
DFT (PBE-GGA) results for a relaxed Cs2SbTe3 crystal.

Geometry as CIF:
```
data_Cs2SbTe3
_cell_length_a 8.885
_cell_length_b 8.885
_cell_length_c 19.002
_cell_angle_alpha 90.00
_cell_angle_beta 90.00
_cell_angle_gamma 122.00
_space_group_name_H-M_alt 'P 1'
_space_group_IT_number 1
_space_group_name_Hall 'P 1'
loop_
_atom_site_label
_atom_site_type_symbol
_atom_site_fract_x
_atom_site_fract_y
_atom_site_fract_z
Cs1 Cs 0.062 0.938 0.835
Cs2 Cs 0.147 0.853 0.431
Cs3 Cs 0.353 0.647 0.931
Cs4 Cs 0.438 0.562 0.335
Cs5 Cs 0.562 0.438 0.665
Cs6 Cs 0.647 0.353 0.069
Cs7 Cs 0.853 0.147 0.569
Cs8 Cs 0.938 0.062 0.165
Sb1 Sb 0.238 0.762 0.157
Sb2 Sb 0.262 0.738 0.657
Sb3 Sb 0.738 0.262 0.343
Sb4 Sb 0.762 0.238 0.843
Te1 Te 0.061 0.439 0.750
Te2 Te 0.089 0.911 0.631
Te3 Te 0.138 0.862 0.037
Te4 Te 0.362 0.638 0.537
Te5 Te 0.411 0.589 0.131
Te6 Te 0.439 0.061 0.250
Te7 Te 0.561 0.939 0.750
Te8 Te 0.589 0.411 0.869
Te9 Te 0.638 0.362 0.463
Te10 Te 0.862 0.138 0.963
Te11 Te 0.911 0.089 0.369
Te12 Te 0.939 0.561 0.250
```

Properties
**DOS at the Fermi energy**: 4.11 states/eV per cell
**Symmetry**: No. 64
**Volume**: 1272 Å³/cell
**Formation energy without anion corrections**: -0.614 eV per atom
**Relative energy among the computed polymorphs**: 0.0057 eV/atom


No. 6
DFT (PBE-GGA) results for a relaxed YZrBr2 crystal.

Geometry as CIF:
```
data_YZrBr2
_cell_length_a 3.520
_cell_length_b 3.520
_cell_length_c 9.286
_cell_angle_alpha 90.00
_cell_angle_beta 90.00
_cell_angle_gamma 90.00
_space_group_name_H-M_alt 'P 1'
_space_group_IT_number 1
_space_group_name_Hall 'P 1'
loop_
_atom_site_label
_atom_site_type_symbol
_atom_site_fract_x
_atom_site_fract_y
_atom_site_fract_z
Y1 Y 0.000 0.000 0.000
Zr1 Zr 0.500 0.500 0.255
Br1 Br 0.000 0.000 0.419
Br2 Br 0.500 0.500 0.808
```

Properties
**DOS at the Fermi energy**: 1.80 states/eV per cell
**Symmetry**: No. 99
**Volume**: 115 Å³/cell
**Formation energy without anion corrections**: -0.897 eV per atom
**Relative energy among the computed polymorphs**: 0.1633 eV/atom


No. 7
DFT (PBE-GGA) results for a relaxed LiTl2TeO4 crystal.

Geometry as CIF:
```
data_LiTl2TeO4
_cell_length_a 11.883
_cell_length_b 10.500
_cell_length_c 6.702
_cell_angle_alpha 84.30
_cell_angle_beta 61.56
_cell_angle_gamma 34.14
_space_group_name_H-M_alt 'P 1'
_space_group_IT_number 1
_space_group_name_Hall 'P 1'
loop_
_atom_site_label
_atom_site_type_symbol
_atom_site_fract_x
_atom_site_fract_y
_atom_site_fract_z
Li1 Li 0.125 0.125 0.125
Li2 Li 0.875 0.875 0.875
Tl1 Tl 0.037 0.037 0.713
Tl2 Tl 0.287 0.287 0.963
Tl3 Tl 0.713 0.713 0.037
Tl4 Tl 0.963 0.963 0.287
Te1 Te 0.375 0.375 0.375
Te2 Te 0.625 0.625 0.625
O1 O 0.003 0.644 0.588
O2 O 0.265 0.588 0.644
O3 O 0.356 0.997 0.735
O4 O 0.412 0.735 0.997
O5 O 0.588 0.265 0.003
O6 O 0.644 0.003 0.265
O7 O 0.735 0.412 0.356
O8 O 0.997 0.356 0.412
```

Properties
**DOS at the Fermi energy**: 5.53 states/eV per cell
**Symmetry**: No. 70
**Volume**: 331 Å³/cell
**Formation energy without anion corrections**: -0.877 eV per atom


No. 8
DFT (PBE-GGA) results for a relaxed Mg2BeGeRu crystal.

Geometry as CIF:
```
data_Mg2BeGeRu
_cell_length_a 4.937
_cell_length_b 4.937
_cell_length_c 4.653
_cell_angle_alpha 90.00
_cell_angle_beta 90.00
_cell_angle_gamma 90.00
_space_group_name_H-M_alt 'P 1'
_space_group_IT_number 1
_space_group_name_Hall 'P 1'
loop_
_atom_site_label
_atom_site_type_symbol
_atom_site_fract_x
_atom_site_fract_y
_atom_site_fract_z
Mg1 Mg 0.000 0.500 0.000
Mg2 Mg 0.500 0.000 0.000
Be1 Be 0.000 0.000 0.500
Ge1 Ge 0.500 0.500 0.500
Ru1 Ru 0.500 0.500 0.000
```

Properties
**DOS at the Fermi energy**: 2.27 states/eV per cell
**Symmetry**: No. 123
**Volume**: 113 Å³/cell
**Uncorrected energy**: -3.570 eV/atom


No. 9
DFT (PBE-GGA) results for a relaxed V2ZnPt crystal.

Geometry as CIF:
```
data_V2ZnPt
_cell_length_a 5.596
_cell_length_b 5.596
_cell_length_c 5.596
_cell_angle_alpha 101.36
_cell_angle_beta 101.36
_cell_angle_gamma 127.30
_space_group_name_H-M_alt 'P 1'
_space_group_IT_number 1
_space_group_name_Hall 'P 1'
loop_
_atom_site_label
_atom_site_type_symbol
_atom_site_fract_x
_atom_site_fract_y
_atom_site_fract_z
V1 V 0.106 0.125 0.481
V2 V 0.375 0.894 0.019
V3 V 0.644 0.625 0.519
V4 V 0.875 0.356 0.981
Zn1 Zn 0.250 0.750 0.500
Zn2 Zn 0.500 0.500 0.000
Pt1 Pt 0.000 0.000 0.000
Pt2 Pt 0.750 0.250 0.500
```

Properties
**DOS at the Fermi energy**: 8.69 states/eV per cell
**Symmetry**: No. 122
**Volume**: 125 Å³/cell
**Uncorrected energy**: -6.177 eV/atom


No. 10
DFT (PBE-GGA) results for a relaxed Rb2Ge crystal.

Geometry as CIF:
```
data_Rb2Ge
_cell_length_a 7.276
_cell_length_b 7.276
_cell_length_c 10.941
_cell_angle_alpha 111.62
_cell_angle_beta 111.62
_cell_angle_gamma 33.35
_space_group_name_H-M_alt 'P 1'
_space_group_IT_number 1
_space_group_name_Hall 'P 1'
loop_
_atom_site_label
_atom_site_type_symbol
_atom_site_fract_x
_atom_site_fract_y
_atom_site_fract_z
Rb1 Rb 0.013 0.013 0.169
Rb2 Rb 0.321 0.321 0.336
Rb3 Rb 0.679 0.679 0.664
Rb4 Rb 0.987 0.987 0.831
Ge1 Ge 0.287 0.287 0.968
Ge2 Ge 0.713 0.713 0.032
```

Properties
**DOS at the Fermi energy**: 2.34 states/eV per cell
**Symmetry**: No. 12
**Volume**: 294 Å³/cell
**Uncorrected energy**: -2.206 eV/atom


No. 11
DFT (PBE-GGA) results for a relaxed GaC3Se crystal.

Geometry as CIF:
```
data_GaC3Se
_cell_length_a 3.947
_cell_length_b 3.947
_cell_length_c 3.947
_cell_angle_alpha 90.00
_cell_angle_beta 90.00
_cell_angle_gamma 90.00
_space_group_name_H-M_alt 'P 1'
_space_group_IT_number 1
_space_group_name_Hall 'P 1'
loop_
_atom_site_label
_atom_site_type_symbol
_atom_site_fract_x
_atom_site_fract_y
_atom_site_fract_z
Ga1 Ga 0.000 0.000 0.000
C1 C 0.000 0.500 0.500
C2 C 0.500 0.000 0.500
C3 C 0.500 0.500 0.000
Se1 Se 0.500 0.500 0.500
```

Properties
**DOS at the Fermi energy**: 2.92 states/eV per cell
**Symmetry**: No. 221
**Volume**: 61 Å³/cell
**Formation energy without anion corrections**: 2.790 eV per atom
**Relative energy among the computed polymorphs**: 0.0000 eV/atom